The following is a GGA+U calculation of a relaxed structure of Co2TcF, from the Alexandria database.

total moment = 3.4 μB/cell
crystal system = cubic
ΔE to the lowest computed polymorph = 252 meV/atom

Lattice parameters (Å, degrees): 4.2275 4.2275 4.2275 60.00 60.00 60.00
Closest atoms and distances in Å follow each position.
Sites, in units of the cell vectors:
1 Co 0.2500 0.2500 0.2500  4 F 2.59, 4 Tc 2.59
2 Co 0.7500 0.7500 0.7500  4 F 2.59, 4 Tc 2.59
3 Tc 0.0000 0.0000 0.0000  8 Co 2.59
4 F 0.5000 0.5000 0.5000  8 Co 2.59